No. 1
# CsTl

An optimized crystal structure of CsTl (PBE-GGA, Alexandria via LeMat-Bulk).

Cell and atoms, written as POSCAR:
```
CsTl
1.0
-3.814 -2.307 9.850
5.281 -9.432 -0.164
8.628 4.754 4.454
Cs Tl
6 6
Direct
0.250 0.500 0.000
0.750 0.500 0.000
0.500 0.000 0.250
0.500 0.000 0.750
0.000 0.250 0.500
0.000 0.750 0.500
0.250 0.000 0.500
0.750 0.000 0.500
0.000 0.500 0.250
0.000 0.500 0.750
0.500 0.250 0.000
0.500 0.750 0.000
```

Values from the calculation:
Space-group type: Pm-3n
E_form: 1.02 eV/f.u.
ρ: 2659 kg/m³

No. 2
# CsTl

An optimized crystal structure of CsTl (PBE-GGA, Alexandria via LeMat-Bulk).

Cell and atoms, written as POSCAR:
```
CsTl
1.0
-3.647 3.523 9.687
-6.824 -0.599 -8.522
-1.468 -5.888 1.589
Cs Tl
6 6
Direct
0.181 0.362 0.250
0.819 0.181 0.750
0.638 0.819 0.250
0.819 0.638 0.750
0.181 0.819 0.250
0.362 0.181 0.750
0.567 0.134 0.250
0.433 0.567 0.750
0.866 0.433 0.250
0.433 0.866 0.750
0.567 0.433 0.250
0.134 0.567 0.750
```

Values from the calculation:
Space-group type: P6_3/mmc
E_form: -0.07 eV/f.u.
ρ: 5175 kg/m³

No. 3
# CsTl

An optimized crystal structure of CsTl (PBE-GGA, Alexandria via LeMat-Bulk).

Cell and atoms, written as POSCAR:
```
CsTl
1.0
-10.743 7.805 6.679
-8.516 -6.593 -5.994
-0.149 -6.559 7.425
Cs Tl
16 16
Direct
0.000 0.191 0.000
0.000 0.809 0.000
0.250 0.559 0.250
0.250 0.941 0.250
0.000 0.691 0.500
0.000 0.309 0.500
0.250 0.059 0.750
0.250 0.441 0.750
0.500 0.191 0.500
0.500 0.809 0.500
0.750 0.559 0.750
0.750 0.941 0.750
0.500 0.691 0.000
0.500 0.309 0.000
0.750 0.059 0.250
0.750 0.441 0.250
0.000 0.000 0.347
0.000 0.000 0.653
0.250 0.750 0.903
0.250 0.750 0.597
0.000 0.500 0.847
0.000 0.500 0.153
0.250 0.250 0.403
0.250 0.250 0.097
0.500 0.000 0.847
0.500 0.000 0.153
0.750 0.750 0.403
0.750 0.750 0.097
0.500 0.500 0.347
0.500 0.500 0.653
0.750 0.250 0.903
0.750 0.250 0.597
```

Values from the calculation:
Space-group type: Fddd
E_form: 0.11 eV/f.u.
ρ: 4936 kg/m³

No. 4
# Cs3Tl

An optimized crystal structure of Cs3Tl (PBE-GGA, Alexandria via LeMat-Bulk).

Cell and atoms, written as POSCAR:
```
Cs3Tl
1.0
5.396 0.000 0.000
0.000 11.459 -2.066
0.000 -0.470 11.634
Cs Tl
6 2
Direct
0.250 0.872 0.128
0.750 0.128 0.872
0.250 0.804 0.551
0.750 0.196 0.449
0.750 0.551 0.804
0.250 0.449 0.196
0.250 0.458 0.542
0.750 0.542 0.458
```

Values from the calculation:
Space-group type: Cmcm
E_form: -0.09 eV/f.u.
ρ: 2805 kg/m³